First-principles (PBE) data for a relaxed NaPdRh3 crystal, as listed in Alexandria via LeMat-Bulk.

abc: 4.489 4.489 4.489
angles: 90.00 90.00 90.00
Element x y z (fractional)
Na (0.000, 0.000, 0.000)
Pd (0.500, 0.500, 0.500)
Rh (0.000, 0.000, 0.500)
Rh (0.000, 0.500, 0.000)
Rh (0.500, 0.000, 0.000)

Values from the calculation:
For the volume, the calculation gives 90.5 Å³/cell. The calculation puts the size of the total moment at 3.65 Bohr magnetons per cell. The formation enthalpy at 0 K comes out at 1.719 eV per atom. As for the space-group type: Pm-3m, No. 221. The crystal system is cubic. The energy above the most stable polymorph in this dataset is 0.480 eV per atom. The value obtained for the uncorrected energy is -19.969 eV for the cell shown.